(1)
# HoErGaPt | Alexandria | GGA-PBE | optimized geometry
# **Relative energy among the computed polymorphs**: 67.2 meV per atom
# **ΔE_f**: -0.89 eV per atom
data_HoErGaPt
_chemical_formula_sum 'Ho4 Er4 Ga4 Pt4'
_symmetry_space_group_name_H-M 'F -4 3 m'
_symmetry_Int_Tables_number 216
_symmetry_space_group_name_Hall 'F -4 2 3'
_cell_length_a 7.0305
_cell_length_b 7.0305
_cell_length_c 7.0305
_cell_angle_alpha 90.00
_cell_angle_beta 90.00
_cell_angle_gamma 90.00
loop_
_atom_site_label
_atom_site_type_symbol
_atom_site_fract_x
_atom_site_fract_y
_atom_site_fract_z
_atom_site_occupancy
Ho1 Ho 0.0000 0.0000 0.0000 1
Er1 Er 0.0000 0.0000 0.5000 1
Ga1 Ga 0.2500 0.2500 0.2500 1
Pt1 Pt 0.2500 0.2500 0.7500 1

(2)
# Ho2ErGa3Pt4 | Alexandria | GGA-PBE | optimized geometry
# **ΔE_f**: -0.97 eV per atom
data_Ho2ErGa3Pt4
_chemical_formula_sum 'Ho2 Er1 Ga3 Pt4'
_symmetry_space_group_name_H-M 'P -4 m 2'
_symmetry_Int_Tables_number 115
_symmetry_space_group_name_Hall 'P -4 -2'
_cell_length_a 4.1330
_cell_length_b 4.1330
_cell_length_c 11.5875
_cell_angle_alpha 90.00
_cell_angle_beta 90.00
_cell_angle_gamma 90.00
loop_
_atom_site_label
_atom_site_type_symbol
_atom_site_fract_x
_atom_site_fract_y
_atom_site_fract_z
_atom_site_occupancy
Ho1 Ho 0.0000 0.5000 0.2281 1
Er1 Er 0.0000 0.0000 0.5000 1
Ga1 Ga 0.0000 0.5000 0.8716 1
Ga2 Ga 0.5000 0.5000 0.5000 1
Pt1 Pt 0.0000 0.0000 0.0000 1
Pt2 Pt 0.0000 0.5000 0.6590 1
Pt3 Pt 0.5000 0.5000 0.0000 1

(3)
# HoErGaPt | Alexandria | GGA-PBE | optimized geometry
# **Relative energy among the computed polymorphs**: 0.0 meV per atom
# **ΔE_f**: -0.96 eV per atom
data_HoErGaPt
_chemical_formula_sum 'Ho2 Er2 Ga2 Pt2'
_symmetry_space_group_name_H-M 'A m m 2'
_symmetry_Int_Tables_number 38
_symmetry_space_group_name_Hall 'A 2 -2'
_cell_length_a 4.4319
_cell_length_b 3.7375
_cell_length_c 10.8345
_cell_angle_alpha 90.00
_cell_angle_beta 90.00
_cell_angle_gamma 90.00
loop_
_atom_site_label
_atom_site_type_symbol
_atom_site_fract_x
_atom_site_fract_y
_atom_site_fract_z
_atom_site_occupancy
Ho1 Ho 0.0000 0.0000 0.0000 1
Er1 Er 0.5000 0.0000 0.7155 1
Ga1 Ga 0.0000 0.0000 0.2796 1
Pt1 Pt 0.5000 0.0000 0.4354 1

(4)
# HoErGaRh | Alexandria | GGA-PBE | optimized geometry
# **Relative energy among the computed polymorphs**: 44.8 meV per atom
# **ΔE_f**: -0.71 eV per atom
data_HoErGaRh
_chemical_formula_sum 'Ho4 Er4 Ga4 Rh4'
_symmetry_space_group_name_H-M 'F -4 3 m'
_symmetry_Int_Tables_number 216
_symmetry_space_group_name_Hall 'F -4 2 3'
_cell_length_a 6.9703
_cell_length_b 6.9703
_cell_length_c 6.9703
_cell_angle_alpha 90.00
_cell_angle_beta 90.00
_cell_angle_gamma 90.00
loop_
_atom_site_label
_atom_site_type_symbol
_atom_site_fract_x
_atom_site_fract_y
_atom_site_fract_z
_atom_site_occupancy
Ho1 Ho 0.0000 0.0000 0.0000 1
Er1 Er 0.0000 0.0000 0.5000 1
Ga1 Ga 0.2500 0.2500 0.7500 1
Rh1 Rh 0.2500 0.2500 0.2500 1

(5)
# HoErGaRh | Alexandria | GGA-PBE | optimized geometry
# **Relative energy among the computed polymorphs**: 0.0 meV per atom
# **ΔE_f**: -0.75 eV per atom
data_HoErGaRh
_chemical_formula_sum 'Ho2 Er2 Ga2 Rh2'
_symmetry_space_group_name_H-M 'A m m 2'
_symmetry_Int_Tables_number 38
_symmetry_space_group_name_Hall 'A 2 -2'
_cell_length_a 4.3229
_cell_length_b 3.8477
_cell_length_c 10.6209
_cell_angle_alpha 90.00
_cell_angle_beta 90.00
_cell_angle_gamma 90.00
loop_
_atom_site_label
_atom_site_type_symbol
_atom_site_fract_x
_atom_site_fract_y
_atom_site_fract_z
_atom_site_occupancy
Ho1 Ho 0.0000 0.0000 0.0000 1
Er1 Er 0.5000 0.0000 0.2825 1
Ga1 Ga 0.0000 0.0000 0.7138 1
Rh1 Rh 0.5000 0.0000 0.5670 1

(6)
# HoErGaRu | Alexandria | GGA-PBE | optimized geometry
# **Relative energy among the computed polymorphs**: 0.0 meV per atom
# **ΔE_f**: -0.50 eV per atom
data_HoErGaRu
_chemical_formula_sum 'Ho2 Er2 Ga2 Ru2'
_symmetry_space_group_name_H-M 'A m m 2'
_symmetry_Int_Tables_number 38
_symmetry_space_group_name_Hall 'A 2 -2'
_cell_length_a 4.2842
_cell_length_b 3.8670
_cell_length_c 10.6297
_cell_angle_alpha 90.00
_cell_angle_beta 90.00
_cell_angle_gamma 90.00
loop_
_atom_site_label
_atom_site_type_symbol
_atom_site_fract_x
_atom_site_fract_y
_atom_site_fract_z
_atom_site_occupancy
Ho1 Ho 0.0000 0.0000 0.0000 1
Er1 Er 0.5000 0.0000 0.2865 1
Ga1 Ga 0.5000 0.0000 0.5781 1
Ru1 Ru 0.0000 0.0000 0.7172 1

(7)
# HoErGaRu | Alexandria | GGA-PBE | optimized geometry
# **Relative energy among the computed polymorphs**: 22.5 meV per atom
# **ΔE_f**: -0.48 eV per atom
data_HoErGaRu
_chemical_formula_sum 'Ho4 Er4 Ga4 Ru4'
_symmetry_space_group_name_H-M 'F -4 3 m'
_symmetry_Int_Tables_number 216
_symmetry_space_group_name_Hall 'F -4 2 3'
_cell_length_a 6.9255
_cell_length_b 6.9255
_cell_length_c 6.9255
_cell_angle_alpha 90.00
_cell_angle_beta 90.00
_cell_angle_gamma 90.00
loop_
_atom_site_label
_atom_site_type_symbol
_atom_site_fract_x
_atom_site_fract_y
_atom_site_fract_z
_atom_site_occupancy
Ho1 Ho 0.0000 0.0000 0.0000 1
Er1 Er 0.0000 0.0000 0.5000 1
Ga1 Ga 0.2500 0.2500 0.2500 1
Ru1 Ru 0.2500 0.2500 0.7500 1

(8)
# Ho2ErZn2Ga2 | Alexandria | GGA-PBE | optimized geometry
# **ΔE_f**: -0.39 eV per atom
data_Ho2ErZn2Ga2
_chemical_formula_sum 'Ho6 Er3 Zn6 Ga6'
_symmetry_space_group_name_H-M 'R -3 m'
_symmetry_Int_Tables_number 166
_symmetry_space_group_name_Hall '-R 3 2"'
_cell_length_a 4.4246
_cell_length_b 4.4246
_cell_length_c 27.1428
_cell_angle_alpha 90.00
_cell_angle_beta 90.00
_cell_angle_gamma 120.00
loop_
_atom_site_label
_atom_site_type_symbol
_atom_site_fract_x
_atom_site_fract_y
_atom_site_fract_z
_atom_site_occupancy
Ho1 Ho 0.0000 0.0000 0.1262 1
Er1 Er 0.0000 0.0000 0.0000 1
Zn1 Zn 0.0000 0.0000 0.3962 1
Ga1 Ga 0.0000 0.0000 0.2637 1

Number 1: raw total energy -5.441 eV per atom. Number 2: raw total energy -5.669 eV per atom. Number 3: raw total energy -5.508 eV per atom. Number 4: raw total energy -5.588 eV per atom. Number 5: raw total energy -5.633 eV per atom. Number 6: raw total energy -5.864 eV per atom. Number 7: raw total energy -5.841 eV per atom. Number 8: raw total energy -3.579 eV per atom.